## MgReCl6 (PBE-GGA)

Data for crystalline MgReCl6 at its relaxed geometry.

Lattice parameters (Å, degrees): 6.2311 6.2311 16.7889 90.00 90.00 120.00
Space group R-3 (No. 148, hexagonal axes)
Unique sites:
Mg  0.0000  0.0000  0.0000 (multiplicity 3)
Re  0.0000  0.0000  0.5000 (multiplicity 3)
Cl  0.0078  0.6908  0.5810 (multiplicity 18)

Computed properties:
formation energy from raw total energies	-0.98	eV per atom